Entry from Alexandria: KAsCl3 after structural relaxation (PBE-GGA).

Summary:
- energy relative to the elements, uncorrected (meV/atom) = -982.2
- energy relative to the lowest polymorph listed for this composition (meV per atom) = 133.5

Unit cell a=5.202 b=5.202 c=5.202 alpha=90.00 beta=90.00 gamma=90.00
Positions (direct):
K1 0.000 0.000 0.000
As1 0.500 0.500 0.500
Cl1 0.000 0.500 0.500
Cl2 0.500 0.000 0.500
Cl3 0.500 0.500 0.000